(1)
A relaxed structure of DyTlAs. Source: the Open Quantum Materials Database, functional PBE.

a b c (Å): 4.9558 4.9558 4.9558
angles (deg): 60.00 60.00 60.00
Closest atoms and distances in Å follow each position.
Sites, in units of the cell vectors:
Dy: 0.0000 0.0000 0.0000  4 Tl 3.03, 4 As 3.03
Tl: 0.2500 0.2500 0.2500  4 Dy 3.03
As: 0.7500 0.7500 0.7500  4 Dy 3.03

Calculated values
For the energy above the most stable polymorph in this dataset, the calculation gives 0.000 eV/atom. The crystal system is cubic.



(2)
A relaxed structure of DyTmAs. Source: the Open Quantum Materials Database, functional PBE.

a b c (Å): 4.7743 4.7743 4.7743
angles (deg): 60.00 60.00 60.00
Closest atoms and distances in Å follow each position.
Sites, in units of the cell vectors:
Dy: 0.0000 0.0000 0.0000  4 As 2.92
Tm: 0.5000 0.5000 0.5000  4 As 2.92
As: 0.2500 0.2500 0.2500  4 Dy 2.92, 4 Tm 2.92

Calculated values
For the energy above the most stable polymorph in this dataset, the calculation gives 0.000 eV/atom. The crystal system is cubic.



(3)
A relaxed structure of Dy2TmAs3. Source: the Open Quantum Materials Database, functional PBE.

a b c (Å): 4.0937 4.0937 10.0222
angles (deg): 90.00 90.00 120.00
Closest atoms and distances in Å follow each position.
Sites, in units of the cell vectors:
Dy: 0.3333 0.6667 0.3319  6 As 2.90
Dy: 0.6667 0.3333 0.6681  6 As 2.90
Tm: 0.0000 0.0000 0.0000  6 As 2.88
As: 0.0000 0.0000 0.5000  6 Dy 2.90
As: 0.3333 0.6667 0.8365  3 Tm 2.88, 3 Dy 2.90
As: 0.6667 0.3333 0.1635  3 Tm 2.88, 3 Dy 2.90

Calculated values
The total energy is -36.78 eV per cell. The crystal system is trigonal.



(4)
A relaxed structure of DyUAs. Source: the Open Quantum Materials Database, functional PBE.

a b c (Å): 4.8414 4.8414 4.8414
angles (deg): 60.00 60.00 60.00
Closest atoms and distances in Å follow each position.
Sites, in units of the cell vectors:
Dy: 0.0000 0.0000 0.0000  4 As 2.96
U: 0.5000 0.5000 0.5000  4 As 2.96
As: 0.2500 0.2500 0.2500  4 Dy 2.96, 4 U 2.96

Calculated values
For the energy above the most stable polymorph in this dataset, the calculation gives 0.000 eV/atom. The crystal system is cubic.



(5)
A relaxed structure of DyAsW. Source: the Open Quantum Materials Database, functional PBE.

a b c (Å): 4.4877 4.4877 4.4877
angles (deg): 60.00 60.00 60.00
Closest atoms and distances in Å follow each position.
Sites, in units of the cell vectors:
Dy: 0.0000 0.0000 0.0000  4 As 2.75
As: 0.2500 0.2500 0.2500  4 Dy 2.75, 4 W 2.75
W: 0.5000 0.5000 0.5000  4 As 2.75

Calculated values
For the energy above the most stable polymorph in this dataset, the calculation gives 0.000 eV/atom. The crystal system is cubic.



(6)
A relaxed structure of DyAsW. Source: the Open Quantum Materials Database, functional PBE.

a b c (Å): 4.7312 4.7312 4.7312
angles (deg): 60.00 60.00 60.00
Closest atoms and distances in Å follow each position.
Sites, in units of the cell vectors:
Dy: 0.0000 0.0000 0.0000  4 As 2.90, 4 W 2.90
As: 0.7500 0.7500 0.7500  4 Dy 2.90
W: 0.2500 0.2500 0.2500  4 Dy 2.90

Calculated values
For the energy above the most stable polymorph in this dataset, the calculation gives 0.994 eV/atom. The crystal system is cubic.



(7)
A relaxed structure of DyYAs. Source: the Open Quantum Materials Database, functional PBE.

a b c (Å): 4.8182 4.8182 4.8182
angles (deg): 60.00 60.00 60.00
Closest atoms and distances in Å follow each position.
Sites, in units of the cell vectors:
Dy: 0.0000 0.0000 0.0000  4 As 2.95
Y: 0.5000 0.5000 0.5000  4 As 2.95
As: 0.2500 0.2500 0.2500  4 Dy 2.95, 4 Y 2.95

Calculated values
The total energy is -18.03 eV per cell. The crystal system is cubic.



(8)
A relaxed structure of Dy2YAs3. Source: the Open Quantum Materials Database, functional PBE.

a b c (Å): 4.1150 4.1150 10.0924
angles (deg): 90.00 90.00 120.00
Closest atoms and distances in Å follow each position.
Sites, in units of the cell vectors:
Dy: 0.3333 0.6667 0.3333  6 As 2.91
Dy: 0.6667 0.3333 0.6667  6 As 2.91
Y: 0.0000 0.0000 0.0000  6 As 2.91
As: 0.0000 0.0000 0.5000  6 Dy 2.91
As: 0.3333 0.6667 0.8330  3 Dy 2.91, 3 Y 2.91
As: 0.6667 0.3333 0.1670  3 Dy 2.91, 3 Y 2.91

Calculated values
The total energy is -38.88 eV per cell. The crystal system is trigonal.



(9)
A relaxed structure of Dy4Y2As3. Source: the Open Quantum Materials Database, functional PBE.

a b c (Å): 8.3022 8.3022 3.7374
angles (deg): 90.00 90.00 120.00
Closest atoms and distances in Å follow each position.
Sites, in units of the cell vectors:
Dy: 0.0000 0.0000 0.0000  3 Dy 3.08, 6 As 3.19
Dy: 0.3992 0.0637 0.0000  3 Y 2.91-3.06, 1 Dy 3.08
Dy: 0.6646 0.6008 0.0000  3 Y 2.91-3.06, 1 Dy 3.08
Dy: 0.9363 0.3354 0.0000  3 Y 2.91-3.06, 1 Dy 3.08
Y: 0.3333 0.6667 0.0000  3 Dy 3.06, 6 As 3.19
Y: 0.6667 0.3333 0.5000  6 Dy 2.91, 3 As 3.19
As: 0.0508 0.7172 0.5000  3 Y 3.19, 8 Dy 3.19-3.44
As: 0.2828 0.3336 0.5000  3 Y 3.19, 8 Dy 3.19-3.44
As: 0.6664 0.9492 0.5000  3 Y 3.19, 8 Dy 3.19-3.44

Calculated values
The total energy is -46.61 eV per cell. The crystal system is hexagonal.



(10)
A relaxed structure of Dy2ZrAs3. Source: the Open Quantum Materials Database, functional PBE.

a b c (Å): 4.0158 4.0158 9.9133
angles (deg): 90.00 90.00 120.00
Closest atoms and distances in Å follow each position.
Sites, in units of the cell vectors:
Dy: 0.3333 0.6667 0.3283  6 As 2.88
Dy: 0.6667 0.3333 0.6717  6 As 2.88
Zr: 0.0000 0.0000 0.0000  6 As 2.78
As: 0.0000 0.0000 0.5000  6 Dy 2.88
As: 0.3333 0.6667 0.8444  3 Zr 2.78, 3 Dy 2.88
As: 0.6667 0.3333 0.1556  3 Zr 2.78, 3 Dy 2.88

Calculated values
The total energy is -40.08 eV per cell. The crystal system is trigonal.



(11)
A relaxed structure of Er2As. Source: the Open Quantum Materials Database, functional PBE.

a b c (Å): 6.0234 6.0234 6.0234
angles (deg): 60.00 60.00 60.00
Closest atoms and distances in Å follow each position.
Sites, in units of the cell vectors:
Er: 0.0000 0.0000 0.0000  6 Er 3.01
Er: 0.0000 0.0000 0.5000  6 Er 3.01
Er: 0.0000 0.5000 0.0000  6 Er 3.01
Er: 0.5000 0.0000 0.0000  6 Er 3.01
As: 0.3750 0.3750 0.3750  12 Er 3.53, 4 As 3.69
As: 0.6250 0.6250 0.6250  12 Er 3.53, 4 As 3.69

Calculated values
The total energy is -26.65 eV per cell. The crystal system is cubic.



(12)
A relaxed structure of ErAs. Source: the Open Quantum Materials Database, functional PBE.

a b c (Å): 3.5427 3.5427 3.5427
angles (deg): 90.00 90.00 90.00
Closest atoms and distances in Å follow each position.
Sites, in units of the cell vectors:
Er: 0.0000 0.0000 0.0000  8 As 3.07
As: 0.5000 0.5000 0.5000  8 Er 3.07

Calculated values
The total energy is -11.26 eV per cell. The crystal system is cubic.



Question: Which formula does entry 12 have?
Answer: ErAs



Question: Which formula does entry 4 have?
Answer: DyUAs



Question: What is the formula in the eleventh record?
Answer: Er2As